Cs2CaBeI6 | GGA-PBE | relaxed

Properties
Its calculated density is 4.4 g/cm3. The magnetic moment is 0.000 μB per atom. The density of states at the Fermi level is 0.00 states/eV/atom. Its electronic total energy is -2.803 eV/atom.

a = 8.343 Å, b = 8.343 Å, c = 8.322 Å
α = 59.92°, β = 59.92°, γ = 90.00°
Fractional coordinates of all 10 atoms:
Cs (0.750, 0.250, 0.500)
Cs (0.250, 0.750, 0.500)
I (0.268, 0.268, 0.465)
I (0.732, 0.732, 0.535)
I (0.266, 0.266, 0.000)
I (0.734, 0.734, 0.000)
I (0.734, 0.266, 0.000)
I (0.266, 0.734, 0.000)
Ca (0.000, 0.000, 0.000)
Be (0.500, 0.500, 0.000)

---

Cs2CaBeP2 | GGA-PBE | relaxed

Properties
Its calculated density is 3.4 g/cm3. The magnetic moment is 0.000 μB per atom. Its electronic total energy is -3.524 eV/atom.

a = 6.578 Å, b = 6.550 Å, c = 9.770 Å
α = 109.58°, β = 109.67°, γ = 90.00°
Fractional coordinates of all 12 atoms:
Cs (0.441, 0.167, 0.335)
Cs (0.559, 0.833, 0.665)
Cs (0.106, 0.333, 0.665)
Cs (0.894, 0.667, 0.335)
Ca (0.000, 0.750, 0.000)
Ca (0.000, 0.250, 0.000)
Be (0.500, 0.750, 0.000)
Be (0.500, 0.250, 0.000)
P (0.761, 0.065, 0.129)
P (0.369, 0.565, 0.129)
P (0.631, 0.435, 0.871)
P (0.239, 0.935, 0.871)

---

CsCaBeSe2 | GGA-PBE | relaxed

Properties
Its calculated density is 3.3 g/cm3. The magnetic moment is 0.158 μB per atom. The density of states at the Fermi level is 0.55 states/eV/atom. Its electronic total energy is -3.618 eV/atom.

a = 5.288 Å, b = 8.266 Å, c = 8.028 Å
α = 104.83°, β = 90.00°, γ = 90.00°
Fractional coordinates of all 10 atoms:
Cs (0.242, 0.500, 0.750)
Cs (0.758, 0.500, 0.250)
Ca (0.480, 0.000, 0.250)
Ca (0.520, 0.000, 0.750)
Be (0.000, 0.000, 0.000)
Be (0.000, 0.000, 0.500)
Se (0.755, 0.795, 0.954)
Se (0.755, 0.205, 0.546)
Se (0.245, 0.795, 0.454)
Se (0.245, 0.205, 0.046)

---

Cs2CaBe2Se4 | GGA-PBE | relaxed

Properties
Its calculated density is 4.2 g/cm3. The magnetic moment is 0.000 μB per atom. The density of states at the Fermi level is 0.00 states/eV/atom. Its electronic total energy is -3.972 eV/atom.

a = 4.042 Å, b = 8.433 Å, c = 8.117 Å
α = 108.83°, β = 104.42°, γ = 90.00°
Fractional coordinates of all 9 atoms:
Cs (0.132, 0.538, 0.263)
Cs (0.868, 0.462, 0.737)
Ca (0.000, 0.000, 0.000)
Be (0.675, 0.967, 0.350)
Be (0.325, 0.033, 0.650)
Se (0.206, 0.134, 0.412)
Se (0.794, 0.866, 0.588)
Se (0.537, 0.783, 0.074)
Se (0.463, 0.217, 0.926)

---

CaBeCu2 | GGA-PBE | relaxed

Properties
Its calculated density is 4.8 g/cm3. The magnetic moment is 0.000 μB per atom. The density of states at the Fermi level is 0.32 states/eV/atom. Its electronic total energy is -3.359 eV/atom.

a = 3.114 Å, b = 2.899 Å, c = 7.354 Å
α = 66.76°, β = 90.00°, γ = 90.00°
Fractional coordinates of all 4 atoms:
Be (0.500, 0.250, 0.250)
Ca (0.500, 0.750, 0.750)
Cu (0.000, 0.929, 0.072)
Cu (0.000, 0.571, 0.428)

---

CaBeCu2 | GGA-PBE | relaxed

Properties
Its calculated density is 4.2 g/cm3. The magnetic moment is 0.000 μB per atom. The density of states at the Fermi level is 0.29 states/eV/atom. Its electronic total energy is -3.552 eV/atom.

a = 3.997 Å, b = 3.997 Å, c = 5.502 Å
α = 69.02°, β = 69.02°, γ = 60.02°
Fractional coordinates of all 4 atoms:
Be (0.750, 0.750, 0.750)
Ca (0.250, 0.250, 0.250)
Cu (0.057, 0.057, 0.828)
Cu (0.443, 0.443, 0.672)

---

Ca4BeCu | GGA-PBE | relaxed

Properties
Its calculated density is 2.0 g/cm3. The magnetic moment is 0.000 μB per atom. The density of states at the Fermi level is 1.05 states/eV/atom. Its electronic total energy is -1.730 eV/atom.

a = 6.504 Å, b = 6.504 Å, c = 6.504 Å
α = 60.00°, β = 60.00°, γ = 60.00°
Fractional coordinates of all 6 atoms:
Ca (0.875, 0.375, 0.375)
Ca (0.375, 0.375, 0.875)
Ca (0.375, 0.875, 0.375)
Ca (0.375, 0.375, 0.375)
Be (0.000, 0.000, 0.000)
Cu (0.750, 0.750, 0.750)

---

CaBe2Cu2 | GGA-PBE | relaxed

Properties
Its calculated density is 4.6 g/cm3. The magnetic moment is 0.000 μB per atom. The density of states at the Fermi level is 0.35 states/eV/atom. Its electronic total energy is -3.388 eV/atom.

a = 7.089 Å, b = 7.089 Å, c = 2.656 Å
α = 90.00°, β = 90.00°, γ = 90.00°
Fractional coordinates of all 10 atoms:
Be (0.387, 0.887, 0.000)
Be (0.887, 0.613, 0.000)
Be (0.613, 0.113, 0.000)
Be (0.113, 0.387, 0.000)
Ca (0.000, 0.000, 0.000)
Ca (0.500, 0.500, 0.000)
Cu (0.171, 0.671, 0.500)
Cu (0.671, 0.829, 0.500)
Cu (0.829, 0.329, 0.500)
Cu (0.329, 0.171, 0.500)

---

CaBeCu2 | GGA-PBE | relaxed

Properties
Its calculated density is 4.4 g/cm3. The magnetic moment is 0.000 μB per atom. The density of states at the Fermi level is 0.40 states/eV/atom. Its electronic total energy is -3.308 eV/atom.

a = 4.702 Å, b = 4.702 Å, c = 4.702 Å
α = 131.98°, β = 114.81°, γ = 84.92°
Fractional coordinates of all 4 atoms:
Be (0.750, 0.250, 0.500)
Ca (0.250, 0.750, 0.500)
Cu (0.932, 0.932, 0.000)
Cu (0.568, 0.568, 0.000)

---

CaBe4Cu | GGA-PBE | relaxed

Properties
Its calculated density is 3.2 g/cm3. The magnetic moment is 0.000 μB per atom. The density of states at the Fermi level is 0.43 states/eV/atom. Its electronic total energy is -3.296 eV/atom.

a = 4.682 Å, b = 4.682 Å, c = 4.682 Å
α = 60.00°, β = 60.00°, γ = 60.00°
Fractional coordinates of all 6 atoms:
Ca (0.250, 0.250, 0.250)
Be (0.629, 0.629, 0.112)
Be (0.629, 0.112, 0.629)
Be (0.629, 0.629, 0.629)
Be (0.112, 0.629, 0.629)
Cu (0.000, 0.000, 0.000)

---

CaBeCu | GGA-PBE | relaxed

Properties
Its calculated density is 3.0 g/cm3. The magnetic moment is 0.000 μB per atom. The density of states at the Fermi level is 0.62 states/eV/atom. Its electronic total energy is -3.062 eV/atom.

a = 4.250 Å, b = 4.335 Å, c = 7.173 Å
α = 72.41°, β = 90.00°, γ = 90.00°
Fractional coordinates of all 6 atoms:
Ca (0.750, 0.638, 0.724)
Ca (0.250, 0.362, 0.276)
Be (0.500, 0.000, 0.000)
Be (0.000, 0.000, 0.000)
Cu (0.750, 0.860, 0.279)
Cu (0.250, 0.140, 0.721)

---

CaBe3Cu | GGA-PBE | relaxed

Properties
Its calculated density is 1.6 g/cm3. The magnetic moment is 0.000 μB per atom. The density of states at the Fermi level is 0.65 states/eV/atom. Its electronic total energy is -1.217 eV/atom.

a = 5.138 Å, b = 5.138 Å, c = 5.138 Å
α = 90.00°, β = 90.00°, γ = 90.00°
Fractional coordinates of all 5 atoms:
Be (0.000, 0.500, 0.000)
Be (0.000, 0.000, 0.500)
Be (0.500, 0.000, 0.000)
Ca (0.000, 0.000, 0.000)
Cu (0.500, 0.500, 0.500)

---

CaBeCu4 | GGA-PBE | relaxed

Properties
Its calculated density is 5.7 g/cm3. The magnetic moment is 0.000 μB per atom. The density of states at the Fermi level is 1.04 states/eV/atom. Its electronic total energy is -3.595 eV/atom.

a = 4.985 Å, b = 4.985 Å, c = 4.985 Å
α = 60.00°, β = 60.00°, γ = 60.00°
Fractional coordinates of all 6 atoms:
Ca (0.000, 0.000, 0.000)
Be (0.750, 0.750, 0.750)
Cu (0.871, 0.376, 0.376)
Cu (0.376, 0.376, 0.871)
Cu (0.376, 0.871, 0.376)
Cu (0.376, 0.376, 0.376)

---

CaBe2Cu3 | GGA-PBE | relaxed

Properties
Its calculated density is 4.8 g/cm3. The magnetic moment is 0.000 μB per atom. The density of states at the Fermi level is 0.36 states/eV/atom. Its electronic total energy is -3.711 eV/atom.

a = 4.698 Å, b = 6.104 Å, c = 6.104 Å
α = 102.53°, β = 90.00°, γ = 90.00°
Fractional coordinates of all 12 atoms:
Ca (0.250, 0.326, 0.326)
Ca (0.750, 0.674, 0.674)
Be (0.500, 0.792, 0.208)
Be (0.000, 0.792, 0.208)
Be (0.000, 0.208, 0.792)
Be (0.500, 0.208, 0.792)
Cu (0.750, 0.469, 0.069)
Cu (0.750, 0.069, 0.469)
Cu (0.250, 0.531, 0.931)
Cu (0.750, 0.061, 0.061)
Cu (0.250, 0.939, 0.939)
Cu (0.250, 0.931, 0.531)

---

CaBe2Cu2 | GGA-PBE | relaxed

Properties
Its calculated density is 4.6 g/cm3. The magnetic moment is 0.000 μB per atom. The density of states at the Fermi level is 0.42 states/eV/atom. Its electronic total energy is -3.357 eV/atom.

a = 7.149 Å, b = 7.149 Å, c = 2.632 Å
α = 90.00°, β = 90.00°, γ = 90.00°
Fractional coordinates of all 10 atoms:
Be (0.151, 0.651, 0.500)
Be (0.651, 0.849, 0.500)
Be (0.849, 0.349, 0.500)
Be (0.349, 0.151, 0.500)
Ca (0.000, 0.000, 0.000)
Ca (0.500, 0.500, 0.000)
Cu (0.369, 0.869, 0.000)
Cu (0.869, 0.631, 0.000)
Cu (0.631, 0.131, 0.000)
Cu (0.131, 0.369, 0.000)

---

CaBeCu2 | GGA-PBE | relaxed

Properties
Its calculated density is 4.6 g/cm3. The magnetic moment is 0.000 μB per atom. The density of states at the Fermi level is 0.53 states/eV/atom. Its electronic total energy is -3.185 eV/atom.

a = 4.747 Å, b = 4.747 Å, c = 4.747 Å
α = 128.88°, β = 128.88°, γ = 75.20°
Fractional coordinates of all 4 atoms:
Be (0.500, 0.500, 0.000)
Ca (0.750, 0.250, 0.500)
Cu (0.000, 0.000, 0.000)
Cu (0.250, 0.750, 0.500)

---

CaBe3Cu | GGA-PBE | relaxed

Properties
Its calculated density is 2.9 g/cm3. The magnetic moment is 0.000 μB per atom. The density of states at the Fermi level is 0.44 states/eV/atom. Its electronic total energy is -3.176 eV/atom.

a = 4.210 Å, b = 4.210 Å, c = 4.210 Å
α = 90.00°, β = 90.00°, γ = 90.00°
Fractional coordinates of all 5 atoms:
Be (0.000, 0.500, 0.000)
Be (0.000, 0.000, 0.500)
Be (0.500, 0.000, 0.000)
Ca (0.500, 0.500, 0.500)
Cu (0.000, 0.000, 0.000)

---

CaBe2Cu10 | GGA-PBE | relaxed

Properties
Its calculated density is 7.0 g/cm3. The magnetic moment is 0.000 μB per atom. The density of states at the Fermi level is 0.37 states/eV/atom. Its electronic total energy is -3.941 eV/atom.

a = 4.720 Å, b = 6.520 Å, c = 6.239 Å
α = 82.13°, β = 67.78°, γ = 68.78°
Fractional coordinates of all 13 atoms:
Ca (0.000, 0.000, 0.000)
Be (0.000, 0.500, 0.000)
Be (0.500, 0.500, 0.000)
Cu (0.352, 0.641, 0.655)
Cu (0.648, 0.359, 0.345)
Cu (0.993, 0.359, 0.655)
Cu (0.007, 0.641, 0.345)
Cu (0.000, 0.000, 0.500)
Cu (0.500, 0.000, 0.500)
Cu (0.269, 0.243, 0.218)
Cu (0.731, 0.757, 0.782)
Cu (0.512, 0.757, 0.218)
Cu (0.488, 0.243, 0.782)

---

CaBeCu2 | GGA-PBE | relaxed

Properties
Its calculated density is 3.7 g/cm3. The magnetic moment is 0.000 μB per atom. The density of states at the Fermi level is 0.59 states/eV/atom. Its electronic total energy is -3.319 eV/atom.

a = 4.641 Å, b = 4.641 Å, c = 8.067 Å
α = 73.28°, β = 73.28°, γ = 90.00°
Fractional coordinates of all 8 atoms:
Be (0.500, 0.500, 0.000)
Be (0.250, 0.750, 0.500)
Ca (0.000, 0.000, 0.000)
Ca (0.750, 0.250, 0.500)
Cu (0.375, 0.125, 0.250)
Cu (0.375, 0.625, 0.250)
Cu (0.375, 0.625, 0.750)
Cu (0.875, 0.625, 0.750)

---

CaBeCu2 | GGA-PBE | relaxed

Properties
Its calculated density is 4.6 g/cm3. The magnetic moment is 0.000 μB per atom. The density of states at the Fermi level is 0.25 states/eV/atom. Its electronic total energy is -3.356 eV/atom.

a = 3.151 Å, b = 3.150 Å, c = 6.356 Å
α = 90.00°, β = 90.00°, γ = 90.00°
Fractional coordinates of all 4 atoms:
Be (0.000, 0.000, 0.413)
Ca (0.500, 0.500, 0.748)
Cu (0.000, 0.000, 0.064)
Cu (0.500, 0.500, 0.274)